Material: CoNiPbSe3
Method: DFT, PBE
State: optimized geometry

Properties
Its energy above the most stable polymorph in this dataset is 0.0 meV/atom. As for the symmetry: No. 63. The calculated total energy comes out at -56.683 eV for the cell shown.

abc: 6.855 6.855 10.007
angles: 90.00 90.00 149.77
Fractional coordinates of all 12 atoms:
Co 0.000 0.000 0.000
Co 0.000 0.000 0.500
Ni 0.389 0.611 0.750
Ni 0.611 0.389 0.250
Pb 0.269 0.731 0.250
Pb 0.731 0.269 0.750
Se 0.012 0.988 0.750
Se 0.381 0.619 0.516
Se 0.381 0.619 0.984
Se 0.619 0.381 0.016
Se 0.619 0.381 0.484
Se 0.988 0.012 0.250